Entry 1:
First-principles (PBE) data for a relaxed structure of LiInHg3, as listed in the Alexandria database.

Symmetry   Pm-3m (221)
Spin magnetization   0.0 μB/cell
VASP energy   -5.41 eV/f.u.
ΔE to the lowest computed polymorph   170.0 meV/atom
Energy relative to the elements   0.0302 eV/atom

Cell lengths 5.093, 5.093, 5.093 Å; angles 90.00, 90.00, 90.00 degrees
Fractional coordinates of all 5 atoms:
Li  0.000  0.000  0.000
Hg  0.000  0.500  0.000
Hg  0.000  0.000  0.500
Hg  0.500  0.000  0.000
In  0.500  0.500  0.500

=====

Entry 2:
First-principles (PBE) data for a relaxed structure of LiIn3Hg7, as listed in the Alexandria database.

Symmetry   C2/m (12)
Spin magnetization   0.0 μB/cell
VASP energy   -12.42 eV/f.u.
ΔE to the lowest computed polymorph   5.6 meV/atom
Energy relative to the elements   -0.0165 eV/atom

Cell lengths 5.365, 7.970, 7.970 Å; angles 88.81, 68.78, 68.78 degrees
Fractional coordinates of all 11 atoms:
Li  0.500  0.500  0.500
In  0.000  0.771  0.229
In  0.500  0.000  0.000
In  0.000  0.229  0.771
Hg  0.779  0.207  0.207
Hg  0.668  0.080  0.585
Hg  0.332  0.415  0.920
Hg  0.668  0.585  0.080
Hg  0.000  0.500  0.500
Hg  0.332  0.920  0.415
Hg  0.221  0.793  0.793

=====

Entry 3:
First-principles (PBE) data for a relaxed structure of Li2In6Hg, as listed in the Alexandria database.

Symmetry   C2/c (15)
Spin magnetization   0.0 μB/cell
VASP energy   -21.37 eV/f.u.
ΔE to the lowest computed polymorph   23.3 meV/atom
Energy relative to the elements   -0.0902 eV/atom

Cell lengths 5.524, 9.182, 9.182 Å; angles 73.11, 78.50, 78.50 degrees
Fractional coordinates of all 18 atoms:
Li  0.416  0.542  0.790
Li  0.084  0.210  0.458
Li  0.584  0.458  0.210
Li  0.916  0.790  0.542
In  0.470  0.678  0.429
In  0.030  0.571  0.322
In  0.530  0.322  0.571
In  0.970  0.429  0.678
In  0.638  0.106  0.356
In  0.862  0.644  0.894
In  0.362  0.894  0.644
In  0.138  0.356  0.106
In  0.313  0.755  0.011
In  0.187  0.989  0.245
In  0.687  0.245  0.989
In  0.813  0.011  0.755
Hg  0.250  0.120  0.880
Hg  0.750  0.880  0.120

=====

Entry 4:
First-principles (PBE) data for a relaxed structure of Li2InHg8, as listed in the Alexandria database.

Symmetry   C2/m (12)
Spin magnetization   0.0 μB/cell
VASP energy   -10.21 eV/f.u.
ΔE to the lowest computed polymorph   13.8 meV/atom
Energy relative to the elements   -0.1118 eV/atom

Cell lengths 5.177, 7.469, 7.469 Å; angles 104.99, 97.81, 97.81 degrees
Fractional coordinates of all 11 atoms:
Li  0.000  0.355  0.645
Li  0.000  0.645  0.355
In  0.500  0.000  0.000
Hg  0.931  0.953  0.683
Hg  0.931  0.683  0.953
Hg  0.399  0.652  0.652
Hg  0.500  0.742  0.258
Hg  0.500  0.258  0.742
Hg  0.601  0.348  0.348
Hg  0.069  0.317  0.047
Hg  0.069  0.047  0.317

=====

Entry 5:
First-principles (PBE) data for a relaxed structure of Li2InHg2, as listed in the Alexandria database.

Symmetry   P4/mbm (127)
Spin magnetization   0.0 μB/cell
VASP energy   -8.42 eV/f.u.
ΔE to the lowest computed polymorph   34.6 meV/atom
Energy relative to the elements   -0.2500 eV/atom

Cell lengths 7.655, 7.655, 3.475 Å; angles 90.00, 90.00, 90.00 degrees
Fractional coordinates of all 10 atoms:
Li  0.359  0.859  0.000
Li  0.859  0.641  0.000
Li  0.641  0.141  0.000
Li  0.141  0.359  0.000
Hg  0.150  0.650  0.500
Hg  0.650  0.850  0.500
Hg  0.850  0.350  0.500
Hg  0.350  0.150  0.500
In  0.000  0.000  0.000
In  0.500  0.500  0.000

=====

Entry 6:
First-principles (PBE) data for a relaxed structure of LiIn2Hg4, as listed in the Alexandria database.

Symmetry   I4/mmm (139)
Spin magnetization   0.0 μB/cell
VASP energy   -9.32 eV/f.u.
ΔE to the lowest computed polymorph   0.0 meV/atom
Energy relative to the elements   -0.1034 eV/atom

Cell lengths 4.979, 4.979, 7.894 Å; angles 108.38, 108.38, 90.00 degrees
Fractional coordinates of all 7 atoms:
Li  0.000  0.000  0.000
In  0.754  0.754  0.507
In  0.246  0.246  0.493
Hg  0.394  0.894  0.788
Hg  0.894  0.394  0.788
Hg  0.606  0.106  0.212
Hg  0.106  0.606  0.212

=====

Entry 7:
First-principles (PBE) data for a relaxed structure of Li2InHg, as listed in the Alexandria database.

Symmetry   Immm (71)
Spin magnetization   0.0 μB/cell
VASP energy   -6.86 eV/f.u.
Energy relative to the elements   0.0009 eV/atom

Cell lengths 6.281, 6.281, 6.281 Å; angles 147.30, 58.52, 132.90 degrees
Fractional coordinates of all 4 atoms:
Li  0.258  0.000  0.258
Li  0.742  0.000  0.742
In  0.000  0.000  0.000
Hg  0.500  0.000  0.500

=====

Entry 8:
First-principles (PBE) data for a relaxed structure of LiIn9Hg2, as listed in the Alexandria database.

Symmetry   P4/mmm (123)
Spin magnetization   0.0 μB/cell
VASP energy   -27.57 eV/f.u.
Energy relative to the elements   -0.0343 eV/atom

Cell lengths 4.680, 4.680, 14.070 Å; angles 90.00, 90.00, 90.00 degrees
Fractional coordinates of all 12 atoms:
Li  0.000  0.000  0.000
In  0.500  0.500  0.000
In  0.500  0.500  0.327
In  0.500  0.500  0.673
In  0.500  0.000  0.158
In  0.500  0.000  0.500
In  0.500  0.000  0.842
In  0.000  0.500  0.158
In  0.000  0.500  0.500
In  0.000  0.500  0.842
Hg  0.000  0.000  0.329
Hg  0.000  0.000  0.671

=====

Entry 9:
First-principles (PBE) data for a relaxed structure of LiIn3Hg4, as listed in the Alexandria database.

Symmetry   P4/mmm (123)
Spin magnetization   0.0 μB/cell
VASP energy   -12.07 eV/f.u.
ΔE to the lowest computed polymorph   0.0 meV/atom
Energy relative to the elements   -0.0920 eV/atom

Cell lengths 3.381, 3.381, 16.904 Å; angles 90.00, 90.00, 90.00 degrees
Fractional coordinates of all 8 atoms:
In  0.500  0.500  0.230
In  0.500  0.500  0.500
In  0.500  0.500  0.770
Hg  0.000  0.000  0.902
Hg  0.000  0.000  0.098
Hg  0.000  0.000  0.364
Hg  0.000  0.000  0.636
Li  0.500  0.500  0.000

=====

Entry 10:
First-principles (PBE) data for a relaxed structure of LiIn4Hg4, as listed in the Alexandria database.

Symmetry   I4/m (87)
Spin magnetization   0.0 μB/cell
VASP energy   -14.68 eV/f.u.
ΔE to the lowest computed polymorph   0.0 meV/atom
Energy relative to the elements   -0.0677 eV/atom

Cell lengths 3.356, 11.589, 11.589 Å; angles 90.00, 90.00, 90.00 degrees
Fractional coordinates of all 18 atoms:
Li  0.000  0.000  0.000
Li  0.500  0.500  0.500
In  0.500  0.439  0.837
In  0.000  0.663  0.939
In  0.500  0.561  0.163
In  0.000  0.061  0.663
In  0.500  0.837  0.561
In  0.000  0.939  0.337
In  0.000  0.337  0.061
In  0.500  0.163  0.439
Hg  0.500  0.833  0.127
Hg  0.500  0.167  0.873
Hg  0.000  0.627  0.667
Hg  0.000  0.333  0.627
Hg  0.000  0.667  0.373
Hg  0.500  0.127  0.167
Hg  0.500  0.873  0.833
Hg  0.000  0.373  0.333

=====

Please write out number 5 again, unchanged.
First-principles (PBE) data for a relaxed structure of Li2InHg2, as listed in the Alexandria database.

Symmetry   P4/mbm (127)
Spin magnetization   0.0 μB/cell
VASP energy   -8.42 eV/f.u.
ΔE to the lowest computed polymorph   34.6 meV/atom
Energy relative to the elements   -0.2500 eV/atom

Cell lengths 7.655, 7.655, 3.475 Å; angles 90.00, 90.00, 90.00 degrees
Fractional coordinates of all 10 atoms:
Li  0.359  0.859  0.000
Li  0.859  0.641  0.000
Li  0.641  0.141  0.000
Li  0.141  0.359  0.000
Hg  0.150  0.650  0.500
Hg  0.650  0.850  0.500
Hg  0.850  0.350  0.500
Hg  0.350  0.150  0.500
In  0.000  0.000  0.000
In  0.500  0.500  0.000